No. 1
The following is a DFT calculation (PBE-GGA) of a relaxed In6GeBr8 crystal.

## Properties
Formation energy without anion corrections, eV per formula unit: -9.44
E, eV per cell: -131.6
Total magnetic moment, μB per formula unit: 0.00
Crystal system: trigonal

```
data_In6GeBr8
_cell_length_a 10.0022
_cell_length_b 10.0022
_cell_length_c 18.9094
_cell_angle_alpha 90.00
_cell_angle_beta 90.00
_cell_angle_gamma 120.00
_space_group_name_H-M_alt 'R -3'
_space_group_IT_number 148
_space_group_name_Hall '-R 3'
loop_
_atom_site_label
_atom_site_type_symbol
_atom_site_fract_x
_atom_site_fract_y
_atom_site_fract_z
In1 In 0.0294 0.6336 0.4259
Ge1 Ge 0.0000 0.0000 0.5000
Br1 Br 0.0000 0.0000 0.1768
Br2 Br 0.9996 0.2340 0.4155
```

No. 2
The following is a DFT calculation (PBE-GGA) of a relaxed In2GeBr2 crystal.

## Properties
Formation energy without anion corrections, eV per formula unit: -0.96
E, eV per cell: -28.8
Total magnetic moment, μB per formula unit: 0.00
Crystal system: tetragonal

```
data_In2GeBr2
_cell_length_a 7.514
_cell_length_b 7.514
_cell_length_c 5.055
_cell_angle_alpha 90.00
_cell_angle_beta 90.00
_cell_angle_gamma 90.00
_space_group_name_H-M_alt 'P 4/m b m'
_space_group_IT_number 127
_space_group_name_Hall '-P 4 2ab'
loop_
_atom_site_label
_atom_site_type_symbol
_atom_site_fract_x
_atom_site_fract_y
_atom_site_fract_z
In1 In 0.146 0.354 0.000
Ge1 Ge 0.000 0.000 0.000
Br1 Br 0.197 0.697 0.500
```

No. 3
The following is a DFT calculation (PBE-GGA) of a relaxed InGeBr crystal.

## Properties
Formation energy without anion corrections, eV per formula unit: -0.53
Relative energy among the computed polymorphs, meV/atom: 167
E, eV per cell: -9.6
Total magnetic moment, μB per formula unit: 0.00
Crystal system: triclinic

```
data_InGeBr
_cell_length_a 4.669
_cell_length_b 4.684
_cell_length_c 5.816
_cell_angle_alpha 106.22
_cell_angle_beta 92.69
_cell_angle_gamma 119.67
_space_group_name_H-M_alt 'P 1'
_space_group_IT_number 1
_space_group_name_Hall 'P 1'
loop_
_atom_site_label
_atom_site_type_symbol
_atom_site_fract_x
_atom_site_fract_y
_atom_site_fract_z
In1 In 0.000 0.000 0.000
Ge1 Ge 0.316 0.639 0.949
Br1 Br 0.158 0.522 0.488
```

No. 4
The following is a DFT calculation (PBE-GGA) of a relaxed In2GeBr2 crystal.

## Properties
Formation energy without anion corrections, eV per formula unit: 0.71
E, eV per cell: -25.5
Total magnetic moment, μB per formula unit: 1.05
Crystal system: tetragonal

```
data_In2GeBr2
_cell_length_a 4.766
_cell_length_b 4.766
_cell_length_c 14.511
_cell_angle_alpha 90.00
_cell_angle_beta 90.00
_cell_angle_gamma 90.00
_space_group_name_H-M_alt 'I 4/m m m'
_space_group_IT_number 139
_space_group_name_Hall '-I 4 2'
loop_
_atom_site_label
_atom_site_type_symbol
_atom_site_fract_x
_atom_site_fract_y
_atom_site_fract_z
In1 In 0.000 0.000 0.119
Ge1 Ge 0.000 0.000 0.500
Br1 Br 0.000 0.500 0.250
```

No. 5
The following is a DFT calculation (PBE-GGA) of a relaxed InGe2Br crystal.

## Properties
Formation energy without anion corrections, eV per formula unit: 1.54
Relative energy among the computed polymorphs, meV/atom: 76
E, eV per cell: -48.4
Total magnetic moment, μB per formula unit: 0.00
Crystal system: tetragonal

```
data_InGe2Br
_cell_length_a 5.962
_cell_length_b 5.962
_cell_length_c 14.698
_cell_angle_alpha 90.00
_cell_angle_beta 90.00
_cell_angle_gamma 90.00
_space_group_name_H-M_alt 'I -4 2 d'
_space_group_IT_number 122
_space_group_name_Hall 'I -4 2bw'
loop_
_atom_site_label
_atom_site_type_symbol
_atom_site_fract_x
_atom_site_fract_y
_atom_site_fract_z
In1 In 0.000 0.000 0.000
Ge1 Ge 0.234 0.250 0.125
Br1 Br 0.000 0.000 0.500
```

No. 6
The following is a DFT calculation (PBE-GGA) of a relaxed InGeBr crystal.

## Properties
Formation energy without anion corrections, eV per formula unit: -0.59
Relative energy among the computed polymorphs, meV/atom: 148
E, eV per cell: -19.2
Total magnetic moment, μB per formula unit: 0.00
Crystal system: triclinic

```
data_InGeBr
_cell_length_a 4.242
_cell_length_b 5.469
_cell_length_c 8.405
_cell_angle_alpha 77.16
_cell_angle_beta 75.55
_cell_angle_gamma 89.95
_space_group_name_H-M_alt 'P 1'
_space_group_IT_number 1
_space_group_name_Hall 'P 1'
loop_
_atom_site_label
_atom_site_type_symbol
_atom_site_fract_x
_atom_site_fract_y
_atom_site_fract_z
In1 In 0.000 0.000 0.000
In2 In 0.183 0.287 0.641
Ge1 Ge 0.356 0.423 0.289
Ge2 Ge 0.944 0.473 0.108
Br1 Br 0.358 0.930 0.284
Br2 Br 0.651 0.615 0.703
```

No. 7
The following is a DFT calculation (PBE-GGA) of a relaxed In3GeBr6 crystal.

## Properties
Formation energy without anion corrections, eV per formula unit: -6.01
E, eV per cell: -115.5
Total magnetic moment, μB per formula unit: 0.00
Crystal system: orthorhombic

```
data_In3GeBr6
_cell_length_a 12.326
_cell_length_b 15.506
_cell_length_c 8.004
_cell_angle_alpha 90.00
_cell_angle_beta 90.00
_cell_angle_gamma 90.00
_space_group_name_H-M_alt 'C m c 21'
_space_group_IT_number 36
_space_group_name_Hall 'C 2c -2'
loop_
_atom_site_label
_atom_site_type_symbol
_atom_site_fract_x
_atom_site_fract_y
_atom_site_fract_z
In1 In 0.000 0.068 0.000
In2 In 0.181 0.380 0.065
Ge1 Ge 0.000 0.351 0.559
Br1 Br 0.000 0.241 0.907
Br2 Br 0.000 0.480 0.344
Br3 Br 0.149 0.011 0.267
Br4 Br 0.157 0.273 0.422
```

No. 8
The following is a DFT calculation (PBE-GGA) of a relaxed InGeBr crystal.

## Properties
Formation energy without anion corrections, eV per formula unit: -0.63
Relative energy among the computed polymorphs, meV/atom: 132
E, eV per cell: -38.6
Total magnetic moment, μB per formula unit: 0.00
Crystal system: monoclinic

```
data_InGeBr
_cell_length_a 11.855
_cell_length_b 4.115
_cell_length_c 8.538
_cell_angle_alpha 90.00
_cell_angle_beta 92.14
_cell_angle_gamma 90.00
_space_group_name_H-M_alt 'C 1 m 1'
_space_group_IT_number 8
_space_group_name_Hall 'C -2y'
loop_
_atom_site_label
_atom_site_type_symbol
_atom_site_fract_x
_atom_site_fract_y
_atom_site_fract_z
In1 In 0.000 0.000 0.000
In2 In 0.220 0.000 0.542
Ge1 Ge 0.036 0.000 0.350
Ge2 Ge 0.429 0.000 0.421
Br1 Br 0.227 0.500 0.768
Br2 Br 0.323 0.000 0.140
```

No. 9
The following is a DFT calculation (PBE-GGA) of a relaxed InGe2Br2 crystal.

## Properties
Formation energy without anion corrections, eV per formula unit: -0.65
Relative energy among the computed polymorphs, meV/atom: 0
E, eV per cell: -31.9
Total magnetic moment, μB per formula unit: 0.00
Crystal system: tetragonal

```
data_InGe2Br2
_cell_length_a 7.235
_cell_length_b 7.235
_cell_length_c 5.315
_cell_angle_alpha 90.00
_cell_angle_beta 90.00
_cell_angle_gamma 90.00
_space_group_name_H-M_alt 'P 4/m b m'
_space_group_IT_number 127
_space_group_name_Hall '-P 4 2ab'
loop_
_atom_site_label
_atom_site_type_symbol
_atom_site_fract_x
_atom_site_fract_y
_atom_site_fract_z
In1 In 0.000 0.000 0.000
Ge1 Ge 0.129 0.371 0.000
Br1 Br 0.188 0.312 0.500
```

No. 10
The following is a DFT calculation (PBE-GGA) of a relaxed In5Ge3Br12 crystal.

## Properties
Formation energy without anion corrections, eV per formula unit: -10.11
E, eV per cell: -461.9
Total magnetic moment, μB per formula unit: 0.00
Crystal system: cubic

```
data_In5Ge3Br12
_cell_length_a 19.071
_cell_length_b 19.071
_cell_length_c 19.071
_cell_angle_alpha 90.00
_cell_angle_beta 90.00
_cell_angle_gamma 90.00
_space_group_name_H-M_alt 'I a -3 d'
_space_group_IT_number 230
_space_group_name_Hall '-I 4bd 2c 3'
loop_
_atom_site_label
_atom_site_type_symbol
_atom_site_fract_x
_atom_site_fract_y
_atom_site_fract_z
In1 In 0.000 0.000 0.000
In2 In 0.000 0.250 0.375
Ge1 Ge 0.000 0.250 0.125
Br1 Br 0.027 0.028 0.347
```

No. 11
The following is a DFT calculation (PBE-GGA) of a relaxed InGeBr crystal.

## Properties
Formation energy without anion corrections, eV per formula unit: -0.50
Relative energy among the computed polymorphs, meV/atom: 176
E, eV per cell: -38.1
Total magnetic moment, μB per formula unit: 0.00
Crystal system: monoclinic

```
data_InGeBr
_cell_length_a 16.687
_cell_length_b 4.030
_cell_length_c 5.648
_cell_angle_alpha 90.00
_cell_angle_beta 95.19
_cell_angle_gamma 90.00
_space_group_name_H-M_alt 'C 1 m 1'
_space_group_IT_number 8
_space_group_name_Hall 'C -2y'
loop_
_atom_site_label
_atom_site_type_symbol
_atom_site_fract_x
_atom_site_fract_y
_atom_site_fract_z
In1 In 0.000 0.000 0.000
In2 In 0.089 0.500 0.416
Ge1 Ge 0.150 0.000 0.784
Ge2 Ge 0.197 0.500 0.021
Br1 Br 0.340 0.500 0.183
Br2 Br 0.431 0.000 0.692
```

No. 12
The following is a DFT calculation (PBE-GGA) of a relaxed InGe3Br crystal.

## Properties
Formation energy without anion corrections, eV per formula unit: 4.11
Relative energy among the computed polymorphs, meV/atom: 36
E, eV per cell: -14.1
Total magnetic moment, μB per formula unit: 0.00
Crystal system: cubic

```
data_InGe3Br
_cell_length_a 5.238
_cell_length_b 5.238
_cell_length_c 5.238
_cell_angle_alpha 90.00
_cell_angle_beta 90.00
_cell_angle_gamma 90.00
_space_group_name_H-M_alt 'P m -3 m'
_space_group_IT_number 221
_space_group_name_Hall '-P 4 2 3'
loop_
_atom_site_label
_atom_site_type_symbol
_atom_site_fract_x
_atom_site_fract_y
_atom_site_fract_z
In1 In 0.000 0.000 0.000
Ge1 Ge 0.000 0.500 0.500
Br1 Br 0.500 0.500 0.500
```

No. 13
The following is a DFT calculation (PBE-GGA) of a relaxed InGeBr crystal.

## Properties
Formation energy without anion corrections, eV per formula unit: -0.71
Relative energy among the computed polymorphs, meV/atom: 105
E, eV per cell: -39.0
Total magnetic moment, μB per formula unit: 0.00
Crystal system: monoclinic

```
data_InGeBr
_cell_length_a 12.032
_cell_length_b 4.070
_cell_length_c 9.566
_cell_angle_alpha 90.00
_cell_angle_beta 113.88
_cell_angle_gamma 90.00
_space_group_name_H-M_alt 'C 1 m 1'
_space_group_IT_number 8
_space_group_name_Hall 'C -2y'
loop_
_atom_site_label
_atom_site_type_symbol
_atom_site_fract_x
_atom_site_fract_y
_atom_site_fract_z
In1 In 0.000 0.000 0.000
In2 In 0.248 0.000 0.552
Ge1 Ge 0.076 0.000 0.672
Ge2 Ge 0.486 0.000 0.744
Br1 Br 0.167 0.500 0.331
Br2 Br 0.253 0.000 0.943
```

No. 14
The following is a DFT calculation (PBE-GGA) of a relaxed K3In3GeBr8 crystal.

## Properties
Formation energy without anion corrections, eV per formula unit: -16.02
E, eV per cell: -136.6
Total magnetic moment, μB per formula unit: 0.00
Crystal system: trigonal

```
data_K3In3GeBr8
_cell_length_a 9.3793
_cell_length_b 9.3793
_cell_length_c 23.1098
_cell_angle_alpha 90.00
_cell_angle_beta 90.00
_cell_angle_gamma 120.00
_space_group_name_H-M_alt 'R -3 m'
_space_group_IT_number 166
_space_group_name_Hall '-R 3 2"'
loop_
_atom_site_label
_atom_site_type_symbol
_atom_site_fract_x
_atom_site_fract_y
_atom_site_fract_z
K1 K 0.0000 0.5000 0.0000
In1 In 0.0000 0.5000 0.5000
Ge1 Ge 0.0000 0.0000 0.5000
Br1 Br 0.0000 0.0000 0.2512
Br2 Br 0.0456 0.5228 0.2395
```

No. 15
The following is a DFT calculation (PBE-GGA) of a relaxed KInGeBr6 crystal.

## Properties
Formation energy without anion corrections, eV per formula unit: -8.50
E, eV per cell: -54.0
Total magnetic moment, μB per formula unit: 0.00
Crystal system: trigonal

```
data_KInGeBr6
_cell_length_a 7.2174
_cell_length_b 7.2174
_cell_length_c 14.5797
_cell_angle_alpha 90.00
_cell_angle_beta 90.00
_cell_angle_gamma 120.00
_space_group_name_H-M_alt 'P -3 1 c'
_space_group_IT_number 163
_space_group_name_Hall '-P 3 2c'
loop_
_atom_site_label
_atom_site_type_symbol
_atom_site_fract_x
_atom_site_fract_y
_atom_site_fract_z
K1 K 0.0000 0.0000 0.0000
In1 In 0.3333 0.6667 0.2500
Ge1 Ge 0.3333 0.6667 0.7500
Br1 Br 0.0120 0.3761 0.1410
```

No. 16
The following is a DFT calculation (PBE-GGA) of a relaxed LiIn2GeBr5 crystal.

## Properties
Formation energy without anion corrections, eV per formula unit: -7.35
E, eV per cell: -110.9
Total magnetic moment, μB per formula unit: 0.00
Crystal system: orthorhombic

```
data_LiIn2GeBr5
_cell_length_a 4.227
_cell_length_b 19.015
_cell_length_c 14.282
_cell_angle_alpha 90.00
_cell_angle_beta 90.00
_cell_angle_gamma 90.00
_space_group_name_H-M_alt 'C m c 21'
_space_group_IT_number 36
_space_group_name_Hall 'C 2c -2'
loop_
_atom_site_label
_atom_site_type_symbol
_atom_site_fract_x
_atom_site_fract_y
_atom_site_fract_z
Li1 Li 0.000 0.058 0.000
In1 In 0.000 0.367 0.866
In2 In 0.000 0.412 0.225
Ge1 Ge 0.000 0.289 0.582
Br1 Br 0.000 0.004 0.344
Br2 Br 0.000 0.150 0.553
Br3 Br 0.000 0.190 0.949
Br4 Br 0.000 0.220 0.217
Br5 Br 0.000 0.450 0.598
```

No. 17
The following is a DFT calculation (PBE-GGA) of a relaxed LiInGe2Br6 crystal.

## Properties
Formation energy without anion corrections, eV per formula unit: -7.27
E, eV per cell: -124.8
Total magnetic moment, μB per formula unit: 0.00
Crystal system: monoclinic

```
data_LiInGe2Br6
_cell_length_a 14.556
_cell_length_b 13.522
_cell_length_c 7.512
_cell_angle_alpha 90.00
_cell_angle_beta 112.32
_cell_angle_gamma 90.00
_space_group_name_H-M_alt 'C 1 2/c 1'
_space_group_IT_number 15
_space_group_name_Hall '-C 2yc'
loop_
_atom_site_label
_atom_site_type_symbol
_atom_site_fract_x
_atom_site_fract_y
_atom_site_fract_z
Li1 Li 0.000 0.214 0.250
In1 In 0.000 0.101 0.750
Ge1 Ge 0.231 0.424 0.107
Br1 Br 0.119 0.272 0.083
Br2 Br 0.128 0.088 0.481
Br3 Br 0.129 0.454 0.708
```